The following is a DFT calculation (PBE-GGA) of a relaxed BeFeRe crystal.

POSCAR file:
```
BeFeRe
1.0
-0.793 1.487 -1.940
-7.499 -3.259 0.567
-1.679 4.594 4.207
Re Fe Be
4 4 4
Direct
0.250 0.423 0.678
0.750 0.923 0.822
0.250 0.077 0.178
0.750 0.577 0.322
0.750 0.362 0.032
0.750 0.138 0.532
0.250 0.638 0.968
0.250 0.862 0.468
0.750 0.827 0.169
0.750 0.673 0.669
0.250 0.327 0.331
0.250 0.173 0.831
```

Properties
Total magnetic moment   5.1 Bohr magnetons per cell
Symmetry   No. 62
Energy relative to the elements   0.07 eV per atom